A geometry-optimized Ta2TiAl structure, computed with PBE-GGA.

Summary:
E_form, meV per atom: 33
Space-group type: No. 8
Total energy, eV per atom: -8.8032
ρ, Mg/m³: 10.2
D(E_F), states/eV/cell: 6.6

Structure (POSCAR):
```
Ta2TiAl
1.0
5.078 0.000 0.000
0.000 2.931 0.000
-1.705 0.000 9.511
Ta Ti Al
4 2 2
Direct
0.000 0.000 0.000 Ta
0.169 0.000 0.508 Ta
0.500 0.500 0.000 Ta
0.669 0.500 0.508 Ta
0.418 0.000 0.255 Ti
0.918 0.500 0.255 Ti
0.085 0.500 0.755 Al
0.585 0.000 0.755 Al
```

---

A geometry-optimized Nd2SmCd2Ag2 structure, computed with PBE-GGA.

Summary:
E_form, meV per atom: -195
Space-group type: No. 166
Total energy, eV per atom: -3.3071
ρ, Mg/m³: 7.8
D(E_F), states/eV/cell: 6.5

Structure (POSCAR):
```
Nd2SmCd2Ag2
1.0
2.465 1.423 8.879
-2.465 1.423 8.879
0.000 -2.847 8.879
Nd Sm Cd Ag
2 1 2 2
Direct
0.124 0.124 0.124 Nd
0.876 0.876 0.876 Nd
0.000 0.000 0.000 Sm
0.266 0.266 0.266 Cd
0.734 0.734 0.734 Cd
0.396 0.396 0.396 Ag
0.604 0.604 0.604 Ag
```

---

A geometry-optimized TlCr2 structure, computed with PBE-GGA.

Summary:
E_form, meV per atom: 834
Space-group type: No. 164
Excess energy over the best structure of this formula in the dataset, eV/atom: 0.394
Total energy, eV per atom: -6.3698
ρ, Mg/m³: 11.2
D(E_F), states/eV/cell: 3.5

Structure (POSCAR):
```
TlCr2
1.0
4.247 0.000 0.000
-2.124 3.678 0.000
0.000 0.000 2.939
Tl Cr
1 2
Direct
0.000 0.000 0.000 Tl
0.333 0.667 0.424 Cr
0.667 0.333 0.576 Cr
```

---

A geometry-optimized SrCoSi2 structure, computed with PBE-GGA.

Summary:
Formation energy from raw total energies, eV/atom: -0.07
Space-group type: No. 10
Total energy, eV per atom: -4.9742
ρ, Mg/m³: 4.3
D(E_F), states/eV/cell: 2.4

Structure (POSCAR):
```
SrCoSi2
1.0
3.310 0.000 0.000
0.000 4.010 0.000
-1.045 0.000 5.942
Sr Co Si
1 1 2
Direct
0.000 0.000 0.000 Sr
0.500 0.000 0.500 Co
0.343 0.500 0.662 Si
0.657 0.500 0.338 Si
```

---

A geometry-optimized Ta2SnMoH structure, computed with PBE-GGA.

Summary:
Space-group type: No. 123
Total energy, eV per atom: -8.3586
ρ, Mg/m³: 12.9
D(E_F), states/eV/cell: 2.4

Structure (POSCAR):
```
Ta2SnMoH
1.0
4.206 0.000 0.000
0.000 4.206 0.000
0.000 0.000 4.192
Ta Sn Mo H
2 1 1 1
Direct
0.000 0.500 0.000 Ta
0.500 0.000 0.000 Ta
0.000 0.000 0.500 Sn
0.500 0.500 0.500 Mo
0.500 0.500 0.000 H
```

---

A geometry-optimized Fe2OsRh structure, computed with PBE-GGA.

Summary:
E_form, meV per atom: 92
Space-group type: No. 25
Excess energy over the best structure of this formula in the dataset, eV/atom: 0.009
Total energy, eV per atom: -8.7845
ρ, Mg/m³: 13.2
D(E_F), states/eV/cell: 4.1

Structure (POSCAR):
```
Fe2OsRh
1.0
2.658 0.000 0.000
0.000 3.651 0.000
0.000 0.000 5.259
Fe Os Rh
2 1 1
Direct
0.000 0.000 0.000 Fe
0.500 0.500 0.241 Fe
0.000 0.000 0.465 Os
0.500 0.500 0.745 Rh
```